Entry 1:
The following is a DFT calculation (PBE) of a relaxed structure of Fe3RhPb.

- ΔE_f (kJ/mol of atoms) = 185.1
- E_tot (eV per atom) = -5.371
- space group = Pm-3m, No. 221

a b c (Å): 4.783 4.783 4.783
angles (deg): 90.00 90.00 90.00
Each line ends with the local moment (μB).
Positions (direct):
1 Pb 0.000 0.000 0.000  -0.13
2 Rh 0.500 0.500 0.500  0.86
3 Fe 0.000 0.000 0.500  3.03
4 Fe 0.500 0.000 0.000  2.73
5 Fe 0.000 0.500 0.000  2.83

***

Entry 2:
The following is a DFT calculation (PBE) of a relaxed structure of SbPC3S3N3Cl3O.

- uncorrected formation energy (eV per formula unit) = -4.45
- E_tot (eV per atom) = -5.967
- space group = I-43m, No. 217

a b c (Å): 12.703 12.703 12.703
angles (deg): 109.47 109.47 109.47
Positions (direct):
1 S 0.251 0.586 0.586
2 S 0.414 0.665 0.000
3 S 0.000 0.414 0.665
4 S 0.335 0.749 0.335
5 S 0.000 0.665 0.414
6 S 0.665 0.414 0.000
7 S 0.414 0.000 0.665
8 S 0.749 0.335 0.335
9 S 0.665 0.000 0.414
10 S 0.335 0.335 0.749
11 S 0.586 0.251 0.586
12 S 0.586 0.586 0.251
13 N 0.124 0.124 0.695
14 N 0.305 0.429 0.429
15 N 0.571 0.876 0.000
16 N 0.876 0.000 0.571
17 N 0.429 0.305 0.429
18 N 0.571 0.000 0.876
19 N 0.429 0.429 0.305
20 N 0.000 0.876 0.571
21 N 0.124 0.695 0.124
22 N 0.876 0.571 0.000
23 N 0.695 0.124 0.124
24 N 0.000 0.571 0.876
25 C 0.000 0.502 0.784
26 C 0.498 0.282 0.498
27 C 0.282 0.498 0.498
28 C 0.216 0.216 0.718
29 C 0.784 0.502 0.000
30 C 0.000 0.784 0.502
31 C 0.718 0.216 0.216
32 C 0.784 0.000 0.502
33 C 0.498 0.498 0.282
34 C 0.502 0.784 0.000
35 C 0.502 0.000 0.784
36 C 0.216 0.718 0.216
37 O 0.000 0.781 0.000
38 O 0.219 0.219 0.219
39 O 0.781 0.000 0.000
40 O 0.000 0.000 0.781
41 Cl 0.201 0.830 0.830
42 Cl 0.629 0.629 0.799
43 Cl 0.170 0.000 0.371
44 Cl 0.371 0.000 0.170
45 Cl 0.799 0.629 0.629
46 Cl 0.830 0.201 0.830
47 Cl 0.629 0.799 0.629
48 Cl 0.000 0.170 0.371
49 Cl 0.371 0.170 0.000
50 Cl 0.830 0.830 0.201
51 Cl 0.170 0.371 0.000
52 Cl 0.000 0.371 0.170
53 Sb 0.216 0.000 0.000
54 Sb 0.784 0.784 0.784
55 Sb 0.000 0.216 0.000
56 Sb 0.000 0.000 0.216
57 P 0.000 0.664 0.000
58 P 0.664 0.000 0.000
59 P 0.000 0.000 0.664
60 P 0.336 0.336 0.336